The following is a GGA-PBE calculation of La3NdSmTm after structural relaxation, from the Alexandria database.

Summary:
Crystal system: monoclinic
DOS(E_F) (states/eV per cell): 22.03
Calculated volume (A^3/atom): 35.07
Formation energy (eV/atom): 0.027

Unit cell a=8.147 b=5.228 c=10.436 alpha=90.00 beta=108.79 gamma=90.00
Space group P2_1/m (No. 11)
Symmetry-distinct sites (fractional):
La 0.169 0.250 0.042 (multiplicity 2)
La 0.171 0.250 0.543 (multiplicity 2)
La 0.173 0.750 0.295 (multiplicity 2)
Nd 0.170 0.750 0.791 (multiplicity 2)
Sm 0.499 0.750 0.125 (multiplicity 2)
Tm 0.499 0.750 0.624 (multiplicity 2)



The following is a GGA-PBE calculation of LaNdSmTm after structural relaxation, from the Alexandria database.

Summary:
Crystal system: trigonal
DOS(E_F) (states/eV per cell): 4.90
Calculated volume (A^3/atom): 34.02
Formation energy (eV/atom): 0.024

Unit cell a=3.6482 b=3.6482 c=11.8065 alpha=90.00 beta=90.00 gamma=120.00
Space group P3m1 (No. 156)
Symmetry-distinct sites (fractional):
La 0.0000 0.0000 0.0000 (multiplicity 1)
Nd 0.6667 0.3333 0.7398 (multiplicity 1)
Sm 0.3333 0.6667 0.4898 (multiplicity 1)
Tm 0.6667 0.3333 0.2497 (multiplicity 1)



The following is a GGA-PBE calculation of La2NdSmY5 after structural relaxation, from the Alexandria database.

Summary:
Crystal system: tetragonal
DOS(E_F) (states/eV per cell): 46.71
Calculated volume (A^3/atom): 33.70
Formation energy (eV/atom): 0.231

Unit cell a=8.727 b=8.727 c=15.928 alpha=90.00 beta=90.00 gamma=90.00
Space group I4/mcm (No. 140)
Symmetry-distinct sites (fractional):
La 0.118 0.382 0.000 (multiplicity 8)
Nd 0.000 0.500 0.250 (multiplicity 4)
Sm 0.000 0.000 0.250 (multiplicity 4)
Y 0.000 0.000 0.000 (multiplicity 4)
Y 0.212 0.288 0.360 (multiplicity 16)



The following is a GGA-PBE calculation of LaNd3SmY after structural relaxation, from the Alexandria database.

Summary:
Crystal system: monoclinic
DOS(E_F) (states/eV per cell): 19.33
Calculated volume (A^3/atom): 34.89
Formation energy (eV/atom): 0.018

Unit cell a=8.177 b=5.205 c=10.371 alpha=90.00 beta=108.48 gamma=90.00
Space group P2_1/m (No. 11)
Symmetry-distinct sites (fractional):
La 0.168 0.250 0.292 (multiplicity 2)
Nd 0.169 0.250 0.792 (multiplicity 2)
Nd 0.169 0.750 0.041 (multiplicity 2)
Nd 0.169 0.750 0.543 (multiplicity 2)
Sm 0.500 0.250 0.626 (multiplicity 2)
Y 0.498 0.750 0.876 (multiplicity 2)



The following is a GGA-PBE calculation of La2Nd4SmY2 after structural relaxation, from the Alexandria database.

Summary:
Crystal system: monoclinic
DOS(E_F) (states/eV per cell): 26.24
Calculated volume (A^3/atom): 34.90
Formation energy (eV/atom): 0.003

Unit cell a=19.190 b=3.702 c=9.822 alpha=90.00 beta=115.77 gamma=90.00
Space group C2/m (No. 12)
Symmetry-distinct sites (fractional):
La 0.166 0.000 0.499 (multiplicity 4)
Nd 0.018 0.000 0.836 (multiplicity 4)
Nd 0.186 0.500 0.834 (multiplicity 4)
Sm 0.000 0.500 0.500 (multiplicity 2)
Y 0.148 0.500 0.166 (multiplicity 4)



The following is a GGA-PBE calculation of La2NdSm2Y6 after structural relaxation, from the Alexandria database.

Summary:
Crystal system: orthorhombic
DOS(E_F) (states/eV per cell): 35.32
Calculated volume (A^3/atom): 34.87
Formation energy (eV/atom): 0.140

Unit cell a=5.693 b=16.594 c=8.121 alpha=90.00 beta=90.00 gamma=90.00
Space group Cmmm (No. 65)
Symmetry-distinct sites (fractional):
La 0.000 0.173 0.000 (multiplicity 4)
Nd 0.000 0.500 0.000 (multiplicity 2)
Sm 0.000 0.189 0.500 (multiplicity 4)
Y 0.000 0.000 0.285 (multiplicity 4)
Y 0.000 0.366 0.287 (multiplicity 8)



The following is a GGA-PBE calculation of LaNdSm2Y after structural relaxation, from the Alexandria database.

Summary:
Crystal system: monoclinic
DOS(E_F) (states/eV per cell): 13.83
Calculated volume (A^3/atom): 36.20
Formation energy (eV/atom): 0.272

Unit cell a=9.138 b=6.493 c=6.475 alpha=90.00 beta=109.57 gamma=90.00
Space group P2/c (No. 13)
Symmetry-distinct sites (fractional):
La 0.000 0.000 0.000 (multiplicity 2)
Nd 0.500 0.164 0.250 (multiplicity 2)
Sm 0.318 0.322 0.661 (multiplicity 4)
Y 0.000 0.494 0.250 (multiplicity 2)



The following is a GGA-PBE calculation of La2Nd5SmY after structural relaxation, from the Alexandria database.

Summary:
Crystal system: orthorhombic
DOS(E_F) (states/eV per cell): 52.09
Calculated volume (A^3/atom): 35.91
Formation energy (eV/atom): 0.126

Unit cell a=5.777 b=20.606 c=10.859 alpha=90.00 beta=90.00 gamma=90.00
Space group Cmc2_1 (No. 36)
Symmetry-distinct sites (fractional):
La 0.000 0.114 0.000 (multiplicity 4)
La 0.000 0.118 0.586 (multiplicity 4)
Nd 0.000 0.015 0.289 (multiplicity 4)
Nd 0.000 0.279 0.577 (multiplicity 4)
Nd 0.000 0.296 0.970 (multiplicity 4)
Nd 0.000 0.390 0.291 (multiplicity 4)
Nd 0.000 0.480 0.010 (multiplicity 4)
Sm 0.000 0.202 0.276 (multiplicity 4)
Y 0.000 0.408 0.729 (multiplicity 4)



The following is a GGA-PBE calculation of La6NdSm2Y after structural relaxation, from the Alexandria database.

Summary:
Crystal system: monoclinic
DOS(E_F) (states/eV per cell): 36.39
Calculated volume (A^3/atom): 36.18
Formation energy (eV/atom): 0.182

Unit cell a=11.527 b=7.106 c=9.230 alpha=90.00 beta=106.85 gamma=90.00
Space group C2/m (No. 12)
Symmetry-distinct sites (fractional):
La 0.127 0.000 0.422 (multiplicity 4)
La 0.192 0.269 0.799 (multiplicity 8)
Nd 0.000 0.000 0.000 (multiplicity 2)
Sm 0.078 0.500 0.172 (multiplicity 4)
Y 0.000 0.500 0.500 (multiplicity 2)



The following is a GGA-PBE calculation of La2NdSm5Y after structural relaxation, from the Alexandria database.

Summary:
Crystal system: tetragonal
DOS(E_F) (states/eV per cell): 55.94
Calculated volume (A^3/atom): 34.70
Formation energy (eV/atom): 0.246

Unit cell a=8.779 b=8.779 c=16.211 alpha=90.00 beta=90.00 gamma=90.00
Space group I4/mcm (No. 140)
Symmetry-distinct sites (fractional):
La 0.119 0.381 0.000 (multiplicity 8)
Nd 0.000 0.000 0.250 (multiplicity 4)
Sm 0.000 0.000 0.000 (multiplicity 4)
Sm 0.218 0.282 0.358 (multiplicity 16)
Y 0.000 0.500 0.250 (multiplicity 4)



The following is a GGA-PBE calculation of LaNdSm6Y2 after structural relaxation, from the Alexandria database.

Summary:
Crystal system: monoclinic
DOS(E_F) (states/eV per cell): 53.31
Calculated volume (A^3/atom): 34.38
Formation energy (eV/atom): 0.118

Unit cell a=9.560 b=15.168 c=9.523 alpha=90.00 beta=95.23 gamma=90.00
Space group C2/c (No. 15)
Symmetry-distinct sites (fractional):
La 0.000 0.091 0.250 (multiplicity 4)
Nd 0.000 0.454 0.750 (multiplicity 4)
Sm 0.069 0.332 0.439 (multiplicity 8)
Sm 0.087 0.119 0.612 (multiplicity 8)
Sm 0.223 0.273 0.821 (multiplicity 8)
Y 0.247 0.452 0.057 (multiplicity 8)



The following is a GGA-PBE calculation of La4Nd2Sm2Y after structural relaxation, from the Alexandria database.

Summary:
Crystal system: monoclinic
DOS(E_F) (states/eV per cell): 31.80
Calculated volume (A^3/atom): 35.37
Formation energy (eV/atom): 0.018

Unit cell a=15.656 b=5.222 c=8.223 alpha=90.00 beta=108.70 gamma=90.00
Space group C2/m (No. 12)
Symmetry-distinct sites (fractional):
La 0.055 0.000 0.334 (multiplicity 4)
La 0.223 0.500 0.333 (multiplicity 4)
Nd 0.167 0.000 0.000 (multiplicity 4)
Sm 0.112 0.500 0.669 (multiplicity 4)
Y 0.000 0.500 0.000 (multiplicity 2)



The following is a GGA-PBE calculation of LaNd5Sm2Y after structural relaxation, from the Alexandria database.

Summary:
Crystal system: tetragonal
DOS(E_F) (states/eV per cell): 57.27
Calculated volume (A^3/atom): 35.41
Formation energy (eV/atom): 0.269

Unit cell a=9.058 b=9.058 c=15.537 alpha=90.00 beta=90.00 gamma=90.00
Space group I4/mcm (No. 140)
Symmetry-distinct sites (fractional):
La 0.000 0.000 0.250 (multiplicity 4)
Nd 0.000 0.000 0.000 (multiplicity 4)
Nd 0.208 0.292 0.136 (multiplicity 16)
Sm 0.115 0.385 0.500 (multiplicity 8)
Y 0.000 0.500 0.250 (multiplicity 4)



The following is a GGA-PBE calculation of LaNdSm5Y2 after structural relaxation, from the Alexandria database.

Summary:
Crystal system: tetragonal
DOS(E_F) (states/eV per cell): 53.32
Calculated volume (A^3/atom): 34.47
Formation energy (eV/atom): 0.281

Unit cell a=8.875 b=8.875 c=15.758 alpha=90.00 beta=90.00 gamma=90.00
Space group I4/mcm (No. 140)
Symmetry-distinct sites (fractional):
La 0.000 0.000 0.250 (multiplicity 4)
Nd 0.000 0.500 0.250 (multiplicity 4)
Sm 0.000 0.000 0.000 (multiplicity 4)
Sm 0.201 0.299 0.136 (multiplicity 16)
Y 0.119 0.381 0.500 (multiplicity 8)



The following is a GGA-PBE calculation of La5Nd2SmY after structural relaxation, from the Alexandria database.

Summary:
Crystal system: tetragonal
DOS(E_F) (states/eV per cell): 70.10
Calculated volume (A^3/atom): 36.14
Formation energy (eV/atom): 0.263

Unit cell a=8.996 b=8.996 c=16.074 alpha=90.00 beta=90.00 gamma=90.00
Space group I4/mcm (No. 140)
Symmetry-distinct sites (fractional):
La 0.000 0.000 0.000 (multiplicity 4)
La 0.213 0.287 0.141 (multiplicity 16)
Nd 0.117 0.383 0.500 (multiplicity 8)
Sm 0.000 0.000 0.250 (multiplicity 4)
Y 0.000 0.500 0.250 (multiplicity 4)



The following is a GGA-PBE calculation of La5NdSm2Y after structural relaxation, from the Alexandria database.

Summary:
Crystal system: tetragonal
DOS(E_F) (states/eV per cell): 68.20
Calculated volume (A^3/atom): 36.01
Formation energy (eV/atom): 0.271

Unit cell a=9.249 b=9.249 c=15.154 alpha=90.00 beta=90.00 gamma=90.00
Space group I4/mcm (No. 140)
Symmetry-distinct sites (fractional):
La 0.000 0.000 0.000 (multiplicity 4)
La 0.208 0.292 0.138 (multiplicity 16)
Nd 0.000 0.000 0.250 (multiplicity 4)
Sm 0.112 0.388 0.500 (multiplicity 8)
Y 0.000 0.500 0.250 (multiplicity 4)



The following is a GGA-PBE calculation of LaNd2SmY after structural relaxation, from the Alexandria database.

Summary:
Crystal system: monoclinic
DOS(E_F) (states/eV per cell): 14.11
Calculated volume (A^3/atom): 35.73
Formation energy (eV/atom): 0.254

Unit cell a=8.490 b=6.654 c=6.353 alpha=90.00 beta=95.37 gamma=90.00
Space group P2/c (No. 13)
Symmetry-distinct sites (fractional):
La 0.000 0.000 0.000 (multiplicity 2)
Nd 0.311 0.312 0.219 (multiplicity 4)
Sm 0.000 0.433 0.750 (multiplicity 2)
Y 0.500 0.165 0.750 (multiplicity 2)



The following is a GGA-PBE calculation of LaNdSm3Y after structural relaxation, from the Alexandria database.

Summary:
Crystal system: monoclinic
DOS(E_F) (states/eV per cell): 18.43
Calculated volume (A^3/atom): 34.37
Formation energy (eV/atom): 0.019

Unit cell a=8.149 b=5.176 c=10.306 alpha=90.00 beta=108.40 gamma=90.00
Space group P2_1/m (No. 11)
Symmetry-distinct sites (fractional):
La 0.165 0.250 0.290 (multiplicity 2)
Nd 0.500 0.250 0.627 (multiplicity 2)
Sm 0.167 0.750 0.543 (multiplicity 2)
Sm 0.168 0.250 0.793 (multiplicity 2)
Sm 0.169 0.750 0.041 (multiplicity 2)
Y 0.497 0.750 0.877 (multiplicity 2)



The following is a GGA-PBE calculation of La2Nd3SmY6 after structural relaxation, from the Alexandria database.

Summary:
Crystal system: monoclinic
DOS(E_F) (states/eV per cell): 28.90
Calculated volume (A^3/atom): 33.72
Formation energy (eV/atom): 0.009

Unit cell a=6.311 b=10.931 c=11.918 alpha=90.00 beta=100.14 gamma=90.00
Space group C2/m (No. 12)
Symmetry-distinct sites (fractional):
La 0.000 0.166 0.000 (multiplicity 4)
Nd 0.000 0.000 0.500 (multiplicity 2)
Nd 0.000 0.333 0.500 (multiplicity 4)
Sm 0.000 0.500 0.000 (multiplicity 2)
Y 0.249 0.500 0.749 (multiplicity 4)
Y 0.250 0.166 0.749 (multiplicity 8)